Entry 1:
# Ni2PIr PBE optimized geometry
data_Ni2PIr
_cell_length_a 3.5761
_cell_length_b 3.5761
_cell_length_c 3.7231
_cell_angle_alpha 90.00
_cell_angle_beta 90.00
_cell_angle_gamma 90.00
_symmetry_space_group_name_H-M 'P 4/m m m'
_symmetry_Int_Tables_number 123
_symmetry_space_group_name_Hall '-P 4 2'
loop_
_atom_site_label
_atom_site_type_symbol
_atom_site_fract_x
_atom_site_fract_y
_atom_site_fract_z
_atom_site_occupancy
Ni1 Ni 0.0000 0.5000 0.0000 1
P1 P 0.0000 0.0000 0.5000 1
Ir1 Ir 0.5000 0.5000 0.5000 1
# E_tot = -6.572 eV per atom
# energy of formation from the pure elements = -113 meV/atom

Entry 2:
# Ni2PIr PBE optimized geometry
data_Ni2PIr
_cell_length_a 2.7259
_cell_length_b 3.5627
_cell_length_c 5.0144
_cell_angle_alpha 90.00
_cell_angle_beta 90.00
_cell_angle_gamma 90.00
_symmetry_space_group_name_H-M 'P m m m'
_symmetry_Int_Tables_number 47
_symmetry_space_group_name_Hall '-P 2 2'
loop_
_atom_site_label
_atom_site_type_symbol
_atom_site_fract_x
_atom_site_fract_y
_atom_site_fract_z
_atom_site_occupancy
Ni1 Ni 0.0000 0.0000 0.2406 1
P1 P 0.5000 0.5000 0.0000 1
Ir1 Ir 0.5000 0.5000 0.5000 1
# E_tot = -6.467 eV per atom
# energy of formation from the pure elements = -9 meV/atom

Entry 3:
# NiP2Ir PBE optimized geometry
data_NiP2Ir
_cell_length_a 3.0488
_cell_length_b 3.0488
_cell_length_c 20.7466
_cell_angle_alpha 90.00
_cell_angle_beta 90.00
_cell_angle_gamma 120.00
_symmetry_space_group_name_H-M 'R 3 m'
_symmetry_Int_Tables_number 160
_symmetry_space_group_name_Hall 'R 3 -2"'
loop_
_atom_site_label
_atom_site_type_symbol
_atom_site_fract_x
_atom_site_fract_y
_atom_site_fract_z
_atom_site_occupancy
Ni1 Ni 0.0000 0.0000 0.0000 1
P1 P 0.0000 0.0000 0.4895 1
P2 P 0.0000 0.0000 0.7284 1
Ir1 Ir 0.0000 0.0000 0.2288 1
# E_tot = -6.454 eV per atom
# E above lowest polymorph = 271 meV/atom
# energy of formation from the pure elements = -89 meV/atom

Entry 4:
# NiP2Ir PBE optimized geometry
data_NiP2Ir
_cell_length_a 2.7696
_cell_length_b 4.6904
_cell_length_c 9.1527
_cell_angle_alpha 90.00
_cell_angle_beta 90.00
_cell_angle_gamma 90.00
_symmetry_space_group_name_H-M 'C m m 2'
_symmetry_Int_Tables_number 35
_symmetry_space_group_name_Hall 'C 2 -2'
loop_
_atom_site_label
_atom_site_type_symbol
_atom_site_fract_x
_atom_site_fract_y
_atom_site_fract_z
_atom_site_occupancy
Ni1 Ni 0.0000 0.0000 0.0000 1
P1 P 0.0000 0.0000 0.4614 1
P2 P 0.0000 0.5000 0.8106 1
Ir1 Ir 0.0000 0.5000 0.2490 1
# E_tot = -6.156 eV per atom
# E above lowest polymorph = 570 meV/atom
# energy of formation from the pure elements = 210 meV/atom

no.,total magnetic moment (μB per atom)
1,0.001
2,0.000
3,0.000
4,0.000